An optimized crystal structure of Y2GePt6, computed with PBE-GGA.

Results
- VASP energy: -6.94 eV per atom
- Symmetry: C2/m (12)
- Magnetic moment: 0.00 μB/f.u.

Cell: 5.617 5.617 6.228 Å, 101.92 101.92 60.36°
Element x y z (fractional)
Y  0.145  0.145  0.358
Y  0.855  0.855  0.642
Ge  0.500  0.500  0.500
Pt  0.109  0.625  0.189
Pt  0.375  0.891  0.811
Pt  0.376  0.376  0.802
Pt  0.624  0.624  0.198
Pt  0.625  0.109  0.189
Pt  0.891  0.375  0.811